1.
Ba2CuPb: relaxed, PBE.

Cell lengths 6.269, 6.269, 10.735 Å; angles 73.02, 73.02, 90.00 degrees
Positions (direct):
Ba1 0.596 0.125 0.250
Ba2 0.875 0.846 0.750
Ba3 0.375 0.404 0.750
Ba4 0.154 0.625 0.250
Pb1 0.000 0.000 0.000
Pb2 0.750 0.250 0.500
Cu1 0.250 0.750 0.500
Cu2 0.500 0.500 0.000

Summary:
SG: I-42d (122)
Energy: -21.52 eV per cell

---

2.
HfMgI6: relaxed, PBE.

Cell lengths 7.207, 8.203, 8.059 Å; angles 104.76, 99.08, 124.65 degrees
Positions (direct):
Mg1 0.000 0.000 0.000
I1 0.141 0.391 0.282
I2 0.859 0.609 0.718
I3 0.859 0.110 0.718
I4 0.141 0.890 0.282
I5 0.474 0.737 0.000
I6 0.526 0.263 0.000
Hf1 0.000 0.500 0.000

Summary:
Uncorrected formation energy: -682 kJ/mol of formula units
SG: C2/m (12)
Energy: -27.92 eV per cell